DFT (PBE) results for a relaxed structure of AlWSe2.

Cell: 3.303 3.283 8.205 Å, 78.28 90.00 90.00°
Fractional positions:
Se 0.000 0.116 0.888
Se 0.500 0.403 0.325
W 0.000 0.286 0.555
Al 0.500 0.696 0.732

As for the total magnetic moment: 0.00 μB/cell. As for the space-group type: No. 6. The calculation puts the uncorrected formation energy at -112 meV/atom.

***

DFT (PBE) results for a relaxed structure of AlW3Se.

Cell: 4.587 4.587 4.587 Å, 90.00 90.00 90.00°
Fractional positions:
Se 0.000 0.000 0.000
W 0.000 0.500 0.000
W 0.000 0.000 0.500
W 0.500 0.000 0.000
Al 0.500 0.500 0.500

As for the total magnetic moment: 0.00 μB/cell. As for the space-group type: No. 221. The calculation puts the uncorrected formation energy at 1516 meV/atom. The calculation puts the energy above the most stable polymorph in this dataset at 0.0000 eV/atom.

***

DFT (PBE) results for a relaxed structure of Al2WSe.

Cell: 4.585 4.585 3.121 Å, 90.00 90.00 90.00°
Fractional positions:
Se 0.500 0.000 0.500
W 0.000 0.500 0.500
Al 0.000 0.000 0.000
Al 0.500 0.500 0.000

As for the total magnetic moment: 0.00 μB/cell. As for the space-group type: No. 123. The calculation puts the uncorrected formation energy at 191 meV/atom.